Record 1
VASP calculation (PBE) on Au3C2 after structural relaxation.

abc: 4.6700 4.6700 4.1081
angles: 90.00 90.00 120.00
Space group P6/mmm (No. 191)
Symmetry-distinct sites (fractional):
Au  0.0000  0.0000  0.0000 x1
Au  0.3333  0.6667  0.5000 x2
C  0.3333  0.6667  0.0000 x2

Output
Raw total energy in eV for the cell shown: -19.62
ΔH_f (0 K) in eV per atom: 1.73
ΔE to the lowest computed polymorph in eV per formula unit: 1.11
M_tot in μB/cell: 0.00

---

Record 2
VASP calculation (PBE) on Ti3PO7 after structural relaxation.

abc: 8.1160 8.1160 7.1240
angles: 90.00 90.00 120.00
Space group R3m (No. 160, hexagonal axes)
Symmetry-distinct sites (fractional):
Ti  0.0916  0.5458  0.0000 x9
P  0.0000  0.0000  0.9122 x3
O  0.0000  0.0000  0.1388 x3
O  0.2035  0.4070  0.1136 x9
O  0.2093  0.1046  0.8519 x9

Output
Raw total energy in eV for the cell shown: -278.27
M_tot in μB/cell: 8.10

---

Record 3
VASP calculation (PBE) on AcLa2ThP4 after structural relaxation.

abc: 7.399 4.276 7.424
angles: 90.00 109.39 90.00
Space group P2/m (No. 10)
Symmetry-distinct sites (fractional):
Ac  0.000  0.000  0.000 x1
La  0.500  0.000  0.500 x1
La  0.500  0.500  0.000 x1
Th  0.000  0.500  0.500 x1
P  0.245  0.000  0.738 x2
P  0.252  0.500  0.262 x2

Output
Raw total energy in eV for the cell shown: -55.42
ΔH_f (0 K) in eV per atom: -1.55
M_tot in μB/cell: 0.00

---

Record 4
VASP calculation (PBE) on Na3TmTh3Se8 after structural relaxation.

abc: 8.3452 8.3452 21.4775
angles: 90.00 90.00 120.00
Space group R-3m (No. 166, hexagonal axes)
Symmetry-distinct sites (fractional):
Na  0.0000  0.5000  0.0000 x9
Tm  0.0000  0.0000  0.5000 x3
Th  0.0000  0.5000  0.5000 x9
Se  0.0000  0.0000  0.2487 x6
Se  0.0089  0.5044  0.2434 x18

Output
Raw total energy in eV for the cell shown: -246.39
M_tot in μB/cell: 0.01